Entry 1:
Here is LiSnP3O9 after structural relaxation from Alexandria via LeMat-Bulk. Energies are from GGA-PBEsol.

Cell lengths 6.808, 7.177, 7.399 Å; angles 84.89, 77.53, 83.04 degrees
Atoms (fractional coordinates):
Li  0.073  0.161  0.167
Li  0.927  0.839  0.833
Sn  0.440  0.767  0.851
Sn  0.560  0.233  0.149
P  0.088  0.613  0.221
P  0.262  0.840  0.453
P  0.344  0.278  0.775
P  0.656  0.722  0.225
P  0.738  0.160  0.547
P  0.912  0.387  0.779
O  0.135  0.410  0.195
O  0.142  0.754  0.057
O  0.149  0.340  0.690
O  0.179  0.660  0.393
O  0.206  0.835  0.662
O  0.215  0.013  0.338
O  0.311  0.113  0.914
O  0.423  0.442  0.840
O  0.494  0.217  0.586
O  0.506  0.783  0.414
O  0.577  0.558  0.160
O  0.689  0.887  0.086
O  0.785  0.987  0.662
O  0.794  0.165  0.338
O  0.821  0.340  0.607
O  0.851  0.660  0.310
O  0.858  0.246  0.943
O  0.865  0.590  0.805

Values from the calculation:
formation energy from raw total energies = -2.09 eV/atom

***

Entry 2:
Here is RuRhW2 after structural relaxation from Alexandria via LeMat-Bulk. Energies are from GGA-PBEsol.

Cell lengths 4.715, 4.715, 2.748 Å; angles 90.00, 90.00, 108.55 degrees
Atoms (fractional coordinates):
Ru  0.000  0.000  0.000
Rh  0.500  0.500  0.000
W  0.000  0.500  0.500
W  0.500  0.000  0.500

Values from the calculation:
E above lowest polymorph = 4 kJ/mol of formula units

***

Entry 3:
Here is TaAlB2P after structural relaxation from Alexandria via LeMat-Bulk. Energies are from GGA-PBEsol.

Cell lengths 3.844, 3.844, 4.793 Å; angles 90.00, 90.00, 90.00 degrees
Atoms (fractional coordinates):
Ta  0.000  0.000  0.000
Al  0.500  0.500  0.000
B  0.000  0.500  0.500
B  0.500  0.000  0.500
P  0.000  0.000  0.500

Values from the calculation:
E_tot = -6.17 eV per atom

***

Entry 4:
Here is Li3BiO4 after structural relaxation from Alexandria via LeMat-Bulk. Energies are from GGA-PBEsol.

Cell lengths 8.717, 8.717, 4.259 Å; angles 90.00, 90.00, 90.00 degrees
Atoms (fractional coordinates):
Li  0.104  0.388  0.000
Li  0.112  0.604  0.500
Li  0.130  0.870  0.000
Li  0.370  0.370  0.500
Li  0.388  0.104  0.000
Li  0.396  0.888  0.500
Li  0.604  0.112  0.500
Li  0.612  0.896  0.000
Li  0.630  0.630  0.500
Li  0.870  0.130  0.000
Li  0.888  0.396  0.500
Li  0.896  0.612  0.000
Bi  0.134  0.134  0.500
Bi  0.366  0.634  0.000
Bi  0.634  0.366  0.000
Bi  0.866  0.866  0.500
O  0.114  0.886  0.500
O  0.122  0.370  0.500
O  0.124  0.124  0.000
O  0.130  0.622  0.000
O  0.370  0.122  0.500
O  0.376  0.624  0.500
O  0.378  0.870  0.000
O  0.386  0.386  0.000
O  0.614  0.614  0.000
O  0.622  0.130  0.000
O  0.624  0.376  0.500
O  0.630  0.878  0.500
O  0.870  0.378  0.000
O  0.876  0.876  0.000
O  0.878  0.630  0.500
O  0.886  0.114  0.500

Values from the calculation:
formation energy from raw total energies = -1.56 eV/atom

***

Entry 5:
Here is CuAs3C after structural relaxation from Alexandria via LeMat-Bulk. Energies are from GGA-PBEsol.

Cell lengths 4.551, 4.551, 4.551 Å; angles 90.00, 90.00, 90.00 degrees
Atoms (fractional coordinates):
Cu  0.000  0.000  0.000
As  0.000  0.000  0.500
As  0.000  0.500  0.000
As  0.500  0.000  0.000
C  0.500  0.500  0.500

Values from the calculation:
E_tot = -3.99 eV per atom

***

Entry 6:
Here is YAlRe after structural relaxation from Alexandria via LeMat-Bulk. Energies are from GGA-PBEsol.

Cell lengths 4.592, 4.592, 4.592 Å; angles 60.00, 60.00, 60.00 degrees
Atoms (fractional coordinates):
Y  0.000  0.000  0.000
Al  0.250  0.250  0.250
Re  0.750  0.750  0.750

Values from the calculation:
E_tot = -6.74 eV per atom